CaOsSeBr2, optimized geometry, DFT PBE; DFT total energy = -3.41 eV/atom; excess energy over the best structure of this formula in the dataset = 796 meV per atom; formation energy from raw total energies = 0.605 eV/atom
1.0
5.382 0.000 0.000
0.000 5.382 0.000
0.000 0.000 5.814
Ca Os Se Br
1 1 1 2
direct
0.000 0.000 0.000 Ca
0.500 0.500 0.500 Os
0.000 0.000 0.500 Se
0.000 0.500 0.000 Br
0.500 0.000 0.000 Br



CaSnOsBr2, optimized geometry, DFT PBE; DFT total energy = -3.40 eV/atom; formation energy from raw total energies = 0.717 eV/atom
1.0
5.234 0.000 0.000
0.000 5.234 0.000
0.000 0.000 7.282
Ca Sn Os Br
1 1 1 2
direct
0.000 0.000 0.000 Ca
0.000 0.000 0.500 Sn
0.500 0.500 0.500 Os
0.000 0.500 0.000 Br
0.500 0.000 0.000 Br



CaTl2OsBr, optimized geometry, DFT PBE; DFT total energy = -3.99 eV/atom; formation energy from raw total energies = -0.063 eV/atom
1.0
5.255 0.000 0.000
0.000 5.255 0.000
0.000 0.000 5.606
Ca Tl Os Br
1 2 1 1
direct
0.000 0.000 0.000 Ca
0.000 0.500 0.500 Tl
0.500 0.000 0.500 Tl
0.000 0.000 0.500 Os
0.500 0.500 0.000 Br



CaV2OsBr, optimized geometry, DFT PBE; DFT total energy = -5.93 eV/atom; formation energy from raw total energies = 0.697 eV/atom
1.0
4.669 0.000 0.000
0.000 4.669 0.000
0.000 0.000 5.694
Ca V Os Br
1 2 1 1
direct
0.000 0.000 0.000 Ca
0.000 0.500 0.500 V
0.500 0.000 0.500 V
0.500 0.500 0.500 Os
0.500 0.500 0.000 Br



Ca4PBr5, optimized geometry, DFT PBE; DFT total energy = -4.04 eV/atom; formation energy from raw total energies = -1.864 eV/atom
1.0
9.194 -2.116 0.000
9.194 2.116 0.000
-2.070 0.000 8.111
Ca P Br
4 1 5
direct
0.001 0.001 0.232 Ca
0.341 0.341 0.903 Ca
0.659 0.659 0.097 Ca
0.999 0.999 0.768 Ca
0.500 0.500 0.000 P
0.166 0.166 0.335 Br
0.170 0.170 0.853 Br
0.500 0.500 0.500 Br
0.830 0.830 0.147 Br
0.834 0.834 0.665 Br



Ca3PBr2, optimized geometry, DFT PBE; DFT total energy = -3.93 eV/atom; formation energy from raw total energies = -1.470 eV/atom
1.0
3.678 -6.352 0.000
3.678 6.352 0.000
-2.443 0.000 6.992
Ca P Br
6 2 4
direct
0.067 0.426 0.782 Ca
0.212 0.212 0.214 Ca
0.426 0.067 0.782 Ca
0.574 0.933 0.218 Ca
0.788 0.788 0.786 Ca
0.933 0.574 0.218 Ca
0.168 0.832 0.000 P
0.832 0.168 0.000 P
0.000 0.000 0.500 Br
0.342 0.658 0.500 Br
0.500 0.500 0.000 Br
0.658 0.342 0.500 Br